# GaMo2Pd PBE-GGA optimized geometry
# - DFT total energy: -118.56 eV for the cell shown
# - Total moment: 0.01 μB per atom
data_GaMo2Pd
_cell_length_a 6.2872
_cell_length_b 6.2872
_cell_length_c 6.2872
_cell_angle_alpha 90.00
_cell_angle_beta 90.00
_cell_angle_gamma 90.00
_space_group_name_H-M_alt 'F -4 3 m'
_space_group_IT_number 216
_space_group_name_Hall 'F -4 2 3'
loop_
_atom_site_label
_atom_site_fract_x
_atom_site_fract_y
_atom_site_fract_z
_atom_site_occupancy
Ga1 0.0000 0.0000 0.0000 1
Mo1 0.0000 0.0000 0.5000 1
Mo2 0.2500 0.2500 0.7500 1
Pd1 0.2500 0.2500 0.2500 1